[1]
The following is a DFT calculation (PBE) of RbOs4 after structural relaxation.

Computed properties:
Calculated formation energy (eV per atom): 4.50
SG: Pm-3m
Electronic total energy (eV for the cell shown): -23.406

Lattice parameters (Å, degrees): 4.594 4.594 4.594 90.00 90.00 90.00
Fractional positions:
Rb  0.000  0.000  0.000
Os  0.000  0.000  0.500
Os  0.000  0.500  0.000
Os  0.500  0.000  0.000
Os  0.500  0.500  0.500

[2]
The following is a DFT calculation (PBE) of Cu2Ru2I after structural relaxation.

Computed properties:
SG: I4/mmm
Electronic total energy (eV for the cell shown): -49.050
Relative energy among the computed polymorphs (eV/atom): 0.000
Formation energy (no corrections) (eV/atom): 0.75

Lattice parameters (Å, degrees): 3.571 3.571 13.892 90.00 90.00 90.00
Fractional positions:
Cu  0.000  0.000  0.109
Cu  0.000  0.000  0.891
Cu  0.500  0.500  0.391
Cu  0.500  0.500  0.609
Ru  0.000  0.500  0.250
Ru  0.000  0.500  0.750
Ru  0.500  0.000  0.250
Ru  0.500  0.000  0.750
I  0.000  0.000  0.500
I  0.500  0.500  0.000